Record 1
A geometry-optimized LiDy2ZnO5 structure, computed with PBE.

The space group is Cmc2_1 (No. 36) and the conventional cell measures 3.313, 13.114 and 9.465 Å, with angles of 90.00, 90.00 and 90.00 degrees. Symmetry generates all atoms from Li at (0.000, 0.212, 0.000), Dy at (0.000, 0.115, 0.680), Dy at (0.000, 0.139, 0.291), Zn at (0.000, 0.457, 0.466), O at (0.000, 0.055, 0.067), O at (0.000, 0.287, 0.668), O at (0.000, 0.319, 0.347), O at (0.000, 0.367, 0.998) and O at (0.000, 0.496, 0.769).

For the energy relative to the elements, uncorrected, the calculation gives -2.484 eV per atom. The total magnetization comes out at 4.1 Bohr magnetons per cell. The value obtained for the total energy is -59.5 eV/f.u.

Record 2
A geometry-optimized Li2DyZrO4 structure, computed with PBE.

The space group is I-4m2 (No. 119) and the conventional cell measures 4.447, 4.447 and 9.404 Å, with angles of 90.00, 90.00 and 90.00 degrees. Symmetry generates all atoms from Li at (0.000, 0.000, 0.000), Li at (0.000, 0.500, 0.250), Dy at (0.000, 0.000, 0.500), Zr at (0.000, 0.500, 0.750), O at (0.000, 0.000, 0.250) and O at (0.000, 0.500, 0.513).

For the energy relative to the elements, uncorrected, the calculation gives -2.688 eV per atom. The total magnetization comes out at 0.0 Bohr magnetons per cell. The value obtained for the total energy is -58.3 eV/f.u.

Question: Which formula does entry 2 have?
Answer: Li2DyZrO4